Here is a geometry-optimized BeBi2H structure from Alexandria via LeMat-Bulk. Energies are from GGA-PBE.

Lattice parameters (Å, degrees): 5.7417 5.7417 10.5944 90.00 90.00 90.00
Space group I-42d (No. 122)
Unique sites:
Be1 0.0000 0.0000 0.0000 [4 per cell]
Bi1 0.2193 0.2500 0.6250 [8 per cell]
H1 0.0000 0.0000 0.5000 [4 per cell]

Summary:
The calculation puts the energy above the most stable polymorph in this dataset at 0.0 meV per atom. The volume comes out at 21.8 Å³ per atom. The calculation puts the raw total energy at -3.088 eV/atom.